(1)
A plane-wave DFT calculation with SCAN was carried out for a PBEsol-optimized structure of Ca2WBrN.

a = 4.8049 Å, b = 4.8049 Å, c = 4.7944 Å
α = 90.00°, β = 90.00°, γ = 90.00°
Space group P4/mmm (No. 123)
Unique sites:
Ca 0.0000 0.5000 0.0000 [2 per cell]
W 0.0000 0.0000 0.5000 [1 per cell]
Br 0.5000 0.5000 0.5000 [1 per cell]
N 0.5000 0.5000 0.0000 [1 per cell]

Computed properties:
- formation energy without anion corrections (eV/atom) = 0.776


(2)
A plane-wave DFT calculation with SCAN was carried out for a PBEsol-optimized structure of LiZrPb2.

a = 11.2425 Å, b = 3.2940 Å, c = 5.1518 Å
α = 90.00°, β = 105.14°, γ = 90.00°
Space group Cm (No. 8)
Unique sites:
Li 0.0000 0.0000 0.0000 [2 per cell]
Zr 0.2639 0.5000 0.4120 [2 per cell]
Pb 0.0023 0.5000 0.4798 [2 per cell]
Pb 0.2509 0.0000 0.9046 [2 per cell]

Computed properties:
- E_form (eV/atom) = -0.327


(3)
A plane-wave DFT calculation with SCAN was carried out for a PBEsol-optimized structure of Ta2GeOsCl.

a = 4.4698 Å, b = 4.4698 Å, c = 4.3326 Å
α = 90.00°, β = 90.00°, γ = 90.00°
Space group P4/mmm (No. 123)
Unique sites:
Ta 0.0000 0.5000 0.0000 [2 per cell]
Ge 0.0000 0.0000 0.5000 [1 per cell]
Os 0.5000 0.5000 0.5000 [1 per cell]
Cl 0.5000 0.5000 0.0000 [1 per cell]

Computed properties:
- formation energy without anion corrections (eV/atom) = 1.242


(4)
A plane-wave DFT calculation with SCAN was carried out for a PBEsol-optimized structure of Sc2CrOs.

a = 2.9618 Å, b = 4.1526 Å, c = 5.4803 Å
α = 90.00°, β = 103.38°, γ = 90.00°
Space group Pm (No. 6)
Unique sites:
Sc 0.0000 0.0000 0.0000 [1 per cell]
Sc 0.2709 0.5000 0.6954 [1 per cell]
Cr 0.7250 0.5000 0.2559 [1 per cell]
Os 0.5485 0.0000 0.4481 [1 per cell]

Computed properties:
- E_form (eV/atom) = 0.036